# LiY2P3Rh12, relaxed, DFT PBE-GGA
# - Uncorrected energy: -375.82 eV/cell
data_LiY2P3Rh12
_cell_length_a 8.7922
_cell_length_b 8.7922
_cell_length_c 12.8529
_cell_angle_alpha 90.00
_cell_angle_beta 90.00
_cell_angle_gamma 120.00
_symmetry_space_group_name_H-M 'R -3 m'
_symmetry_Int_Tables_number 166
_symmetry_space_group_name_Hall '-R 3 2"'
loop_
_atom_site_label
_atom_site_fract_x
_atom_site_fract_y
_atom_site_fract_z
Li1 0.0000 0.0000 0.0000
Y1 0.0000 0.0000 0.3723
P1 0.0000 0.5000 0.5000
Rh1 0.0013 0.5006 0.6736
Rh2 0.0262 0.5131 0.8817



# LiZnPRh, relaxed, DFT PBE-GGA
# - Uncorrected energy: -70.23 eV/cell
data_LiZnPRh
_cell_length_a 5.948
_cell_length_b 5.948
_cell_length_c 5.948
_cell_angle_alpha 90.00
_cell_angle_beta 90.00
_cell_angle_gamma 90.00
_symmetry_space_group_name_H-M 'F -4 3 m'
_symmetry_Int_Tables_number 216
_symmetry_space_group_name_Hall 'F -4 2 3'
loop_
_atom_site_label
_atom_site_fract_x
_atom_site_fract_y
_atom_site_fract_z
Li1 0.000 0.000 0.000
Zn1 0.250 0.250 0.250
P1 0.250 0.250 0.750
Rh1 0.000 0.000 0.500



# LiZr2PRh, relaxed, DFT PBE-GGA
# - Uncorrected energy: -30.09 eV/cell
data_LiZr2PRh
_cell_length_a 4.683
_cell_length_b 4.683
_cell_length_c 3.997
_cell_angle_alpha 90.00
_cell_angle_beta 90.00
_cell_angle_gamma 90.00
_symmetry_space_group_name_H-M 'P 4/m m m'
_symmetry_Int_Tables_number 123
_symmetry_space_group_name_Hall '-P 4 2'
loop_
_atom_site_label
_atom_site_fract_x
_atom_site_fract_y
_atom_site_fract_z
Li1 0.000 0.000 0.000
Zr1 0.000 0.500 0.000
P1 0.500 0.500 0.500
Rh1 0.000 0.000 0.500



# LiP2Ru3, relaxed, DFT PBE-GGA
# - Uncorrected energy: -257.32 eV/cell
data_LiP2Ru3
_cell_length_a 15.669
_cell_length_b 3.854
_cell_length_c 9.153
_cell_angle_alpha 90.00
_cell_angle_beta 108.62
_cell_angle_gamma 90.00
_symmetry_space_group_name_H-M 'C 1 2/m 1'
_symmetry_Int_Tables_number 12
loop_
_symmetry_equiv_pos_as_xyz
'x,y,z'
'-x,-y,-z'
'-x,y,-z'
'x,-y,z'
'x+1/2,y+1/2,z'
'-x+1/2,-y+1/2,-z'
'-x+1/2,y+1/2,-z'
'x+1/2,-y+1/2,z'
loop_
_atom_site_label
_atom_site_fract_x
_atom_site_fract_y
_atom_site_fract_z
Li1 0.000 0.000 0.000
Li2 0.162 0.000 0.693
P1 0.044 0.500 0.799
P2 0.144 0.500 0.454
P3 0.187 0.000 0.122
Ru1 0.000 0.500 0.500
Ru2 0.027 0.000 0.328
Ru3 0.103 0.500 0.183
Ru4 0.185 0.500 0.965
Ru5 0.209 0.000 0.386



# LiPRu2, relaxed, DFT PBE-GGA
# - Uncorrected energy: -104.43 eV/cell
data_LiPRu2
_cell_length_a 7.117
_cell_length_b 7.117
_cell_length_c 4.771
_cell_angle_alpha 90.00
_cell_angle_beta 90.00
_cell_angle_gamma 90.00
_symmetry_space_group_name_H-M 'I -4 2 d'
_symmetry_Int_Tables_number 122
_symmetry_space_group_name_Hall 'I -4 2bw'
loop_
_atom_site_label
_atom_site_fract_x
_atom_site_fract_y
_atom_site_fract_z
Li1 0.000 0.000 0.000
P1 0.000 0.000 0.500
Ru1 0.166 0.250 0.625



# LiPRu2, relaxed, DFT PBE-GGA
# - Uncorrected energy: -51.22 eV/cell
data_LiPRu2
_cell_length_a 2.949
_cell_length_b 4.839
_cell_length_c 7.957
_cell_angle_alpha 90.00
_cell_angle_beta 90.00
_cell_angle_gamma 90.00
_symmetry_space_group_name_H-M 'C m m m'
_symmetry_Int_Tables_number 65
_symmetry_space_group_name_Hall '-C 2 2'
loop_
_atom_site_label
_atom_site_fract_x
_atom_site_fract_y
_atom_site_fract_z
Li1 0.000 0.000 0.000
P1 0.000 0.000 0.500
Ru1 0.000 0.500 0.284



# LiPRu2, relaxed, DFT PBE-GGA
# - Uncorrected energy: -77.99 eV/cell
data_LiPRu2
_cell_length_a 2.7975
_cell_length_b 2.7975
_cell_length_c 24.9459
_cell_angle_alpha 90.00
_cell_angle_beta 90.00
_cell_angle_gamma 120.00
_symmetry_space_group_name_H-M 'R 3 m'
_symmetry_Int_Tables_number 160
_symmetry_space_group_name_Hall 'R 3 -2"'
loop_
_atom_site_label
_atom_site_fract_x
_atom_site_fract_y
_atom_site_fract_z
Li1 0.0000 0.0000 0.0000
P1 0.0000 0.0000 0.2465
Ru1 0.0000 0.0000 0.5116
Ru2 0.0000 0.0000 0.7565



# LiPRu2, relaxed, DFT PBE-GGA
# - Uncorrected energy: -51.62 eV/cell
data_LiPRu2
_cell_length_a 2.796
_cell_length_b 4.129
_cell_length_c 10.473
_cell_angle_alpha 90.00
_cell_angle_beta 90.00
_cell_angle_gamma 90.00
_symmetry_space_group_name_H-M 'I m m m'
_symmetry_Int_Tables_number 71
_symmetry_space_group_name_Hall '-I 2 2'
loop_
_atom_site_label
_atom_site_fract_x
_atom_site_fract_y
_atom_site_fract_z
Li1 0.000 0.000 0.000
P1 0.000 0.000 0.500
Ru1 0.000 0.000 0.296



| no. | E_form (meV/atom) | DOS at the Fermi energy (states/eV per cell) | total moment (μB per formula unit) |
| --- | --- | --- | --- |
| 1 | -332 | 43.8 | 0.000 |
| 2 | -402 | 6.8 | 0.000 |
| 3 | 336 | 5.7 | 0.000 |
| 4 | -387 | 26.9 | 0.000 |
| 5 | -58 | 6.2 | 0.000 |
| 6 | 66 | 5.9 | 0.000 |
| 7 | -30 | 10.7 | 0.000 |
| 8 | 17 | 7.1 | 0.000 |